Record 1
# Mn2PC

A relaxed structure of Mn2PC (PBE-GGA, Alexandria).

Results
Its space-group type is No. 122. The value obtained for the total energy is -8.03 eV per atom. The density of states at the Fermi level comes out at 0.846 states/eV per atom.

```
8
Lattice="-1.5615 2.3379 3.8734 -4.0484 1.1071 -2.3003 -4.7487 -2.1532 2.3422" Properties=species:S:1:pos:R:3 pbc="T T T"
P 0.0000 0.0000 0.0000
P -4.5576 0.9536 3.5010
C -2.8050 1.7225 0.7865
C -5.8011 0.3382 0.4142
Mn -2.5628 0.9021 2.4551
Mn -4.0190 0.6051 -0.1042
Mn -5.9410 -0.2476 2.1899
Mn -8.1946 1.3241 3.2897
```

=====

Record 2
# MnPC

A relaxed structure of MnPC (PBE-GGA, Alexandria).

Results
Its space-group type is No. 156. As for the relative energy among the computed polymorphs: 0 meV per atom.

```
3
Lattice="-1.9571 0.8444 1.9261 2.2792 -1.5313 0.8448 2.2364 3.6897 0.6547" Properties=species:S:1:pos:R:3 pbc="T T T"
P 0.9388 2.5006 2.0001
C -0.4011 0.2899 1.6078
Mn 1.5796 0.4362 1.4138
```

=====

Record 3
# MnPC

A relaxed structure of MnPC (PBE-GGA, Alexandria).

Results
Its space-group type is No. 8. As for the relative energy among the computed polymorphs: 317 meV per atom. The density of states at the Fermi level comes out at 0.381 states/eV per atom.

```
6
Lattice="3.4928 0.0000 0.0001 0.0000 2.6897 0.0000 -2.3367 0.0000 6.5572" Properties=species:S:1:pos:R:3 pbc="T T T"
P -0.5444 0.0000 4.3514
P 0.6239 1.3448 1.0728
C 3.1866 0.0000 0.1065
C 2.0183 1.3448 3.3851
Mn 2.3760 0.0000 1.9473
Mn 1.2077 1.3448 5.2259
```

=====

Record 4
# MnPC3

A relaxed structure of MnPC3 (PBE-GGA, Alexandria).

Results
Its space-group type is No. 221. As for the relative energy among the computed polymorphs: 10 meV per atom. The density of states at the Fermi level comes out at 1.047 states/eV per atom.

```
5
Lattice="3.5780 0.0000 0.0000 0.0000 3.5780 0.0000 0.0000 0.0000 3.5780" Properties=species:S:1:pos:R:3 pbc="T T T"
P 0.0000 0.0000 0.0000
C 0.0000 1.7890 0.0000
C 0.0000 0.0000 1.7890
C 1.7890 0.0000 0.0000
Mn 1.7890 1.7890 1.7890
```

=====

Record 5
# PaMn2PC

A relaxed structure of PaMn2PC (PBE-GGA, Alexandria).

Results
Its space-group type is No. 63. The value obtained for the total energy is -9.17 eV per atom. The density of states at the Fermi level comes out at 1.137 states/eV per atom.

```
10
Lattice="-3.5709 -0.2551 0.9536 0.6063 -1.4999 -5.3277 0.9674 -6.3977 1.9113" Properties=species:S:1:pos:R:3 pbc="T T T"
Pa -0.3367 -6.2644 -2.9366
Pa -1.6605 -1.8883 0.4738
Mn 0.5049 -6.5677 0.1339
Mn -2.5021 -1.5850 -2.5967
Mn 0.1384 -4.1438 -0.5902
Mn -2.1356 -4.0089 -1.8726
P -1.6008 -5.6723 -0.3148
P -0.3964 -2.4804 -2.1480
C 0.0000 0.0000 0.0000
C 0.4837 -3.1989 0.9556
```

=====

Record 6
# Pa2Mn2P2C

A relaxed structure of Pa2Mn2P2C (PBE-GGA, Alexandria).

Results
Its space-group type is No. 12. The value obtained for the total energy is -9.05 eV per atom. The density of states at the Fermi level comes out at 0.773 states/eV per atom.

```
7
Lattice="3.8318 0.0012 0.0006 1.9141 5.2029 1.3301 -0.0023 2.7074 6.0336" Properties=species:S:1:pos:R:3 pbc="T T T"
Pa 3.8284 6.8251 6.0724
Pa 1.9152 1.0864 1.2919
Mn 3.8296 3.9273 4.6740
Mn 1.9140 3.9842 2.6903
P 3.8302 2.8478 2.6356
P 1.9134 5.0637 4.7287
C 0.0000 0.0000 0.0000
```

=====

Record 7
# Mn2PPdC

A relaxed structure of Mn2PPdC (PBE-GGA, Alexandria).

Results
Its space-group type is No. 123. The value obtained for the total energy is -5.91 eV per atom. The density of states at the Fermi level comes out at 0.281 states/eV per atom.

```
5
Lattice="-2.2279 4.2462 -1.2965 -1.7741 -1.9567 -3.3600 -3.9319 -1.2133 2.7826" Properties=species:S:1:pos:R:3 pbc="T T T"
P -0.8870 -0.9784 -1.6800
C -3.9669 0.5381 -0.9369
Mn -1.9659 -0.6067 1.3913
Mn -1.1139 2.1231 -0.6482
Pd 0.0000 0.0000 0.0000
```

=====

Record 8
# PmMn2PC

A relaxed structure of PmMn2PC (PBE-GGA, Alexandria).

Results
Its space-group type is No. 63. The value obtained for the total energy is -8.16 eV per atom. The density of states at the Fermi level comes out at 0.654 states/eV per atom.

```
10
Lattice="-2.8416 0.6994 2.3359 4.0148 -2.7580 2.7086 2.9505 6.0431 1.7800" Properties=species:S:1:pos:R:3 pbc="T T T"
Pm 4.5714 2.3426 4.8597
Pm -0.4477 1.6418 1.9649
Mn 3.6648 4.8636 3.0021
Mn 0.4588 -0.8791 3.8224
Mn 2.5365 2.5526 2.3214
Mn 1.5872 1.4319 4.5031
P 1.9964 3.7639 4.3027
P 2.1273 0.2205 2.5218
C 0.0000 0.0000 0.0000
C 1.4753 3.0216 0.8900
```

=====

Record 9
# PuMn2PC

A relaxed structure of PuMn2PC (PBE-GGA, Alexandria).

Results
Its space-group type is No. 63. The value obtained for the total energy is -9.99 eV per atom. The density of states at the Fermi level comes out at 2.159 states/eV per atom.

```
10
Lattice="3.6486 0.0000 0.0000 -1.8243 5.2369 0.0000 0.0000 0.0000 6.8580" Properties=species:S:1:pos:R:3 pbc="T T T"
Pu 0.0000 4.7826 5.1435
Pu 1.8243 0.4543 1.7145
Mn 0.0000 1.8153 6.4582
Mn 1.8243 3.4216 0.3998
Mn 0.0000 1.8153 3.8288
Mn 1.8243 3.4216 3.0292
P 1.8243 2.4432 5.1435
P 0.0000 2.7936 1.7145
C 0.0000 0.0000 0.0000
C 0.0000 0.0000 3.4290
```

=====

Record 10
# MnP2RhC

A relaxed structure of MnP2RhC (PBE-GGA, Alexandria).

Results
Its space-group type is No. 123. The value obtained for the total energy is -5.60 eV per atom. The density of states at the Fermi level comes out at 1.097 states/eV per atom.

```
5
Lattice="-3.6517 -1.9232 0.1994 0.8948 -2.1236 -4.0943 1.7661 -3.1443 2.0168" Properties=species:S:1:pos:R:3 pbc="T T T"
P 0.8831 -1.5722 1.0084
P -1.8259 -0.9616 0.0997
C -0.4954 -3.5956 -0.9390
Mn 0.0000 0.0000 0.0000
Rh 0.4474 -1.0618 -2.0472
```

=====

Record 11
# MnP2CS

A relaxed structure of MnP2CS (PBE-GGA, Alexandria).

Results
Its space-group type is No. 123. The uncorrected formation energy is 1.036 eV/atom. As for the relative energy among the computed polymorphs: 0 meV per atom. The density of states at the Fermi level comes out at 0.279 states/eV per atom.

```
5
Lattice="4.0117 0.0000 0.0000 0.0000 4.0117 0.0000 0.0000 0.0000 4.1707" Properties=species:S:1:pos:R:3 pbc="T T T"
P 0.0000 2.0059 0.0000
P 2.0059 0.0000 0.0000
S 0.0000 0.0000 2.0853
Mn 2.0059 2.0059 2.0853
C 0.0000 0.0000 0.0000
```

=====

Record 12
# MnP2CS

A relaxed structure of MnP2CS (PBE-GGA, Alexandria).

Results
Its space-group type is No. 123. The uncorrected formation energy is 1.641 eV/atom. As for the relative energy among the computed polymorphs: 605 meV per atom. The density of states at the Fermi level comes out at 0.889 states/eV per atom.

```
5
Lattice="4.4055 0.0000 0.0000 0.0000 4.4055 0.0000 0.0000 0.0000 4.1646" Properties=species:S:1:pos:R:3 pbc="T T T"
P 0.0000 2.2027 0.0000
P 2.2027 0.0000 0.0000
S 0.0000 0.0000 2.0823
Mn 0.0000 0.0000 0.0000
C 2.2027 2.2027 2.0823
```

=====

Record 13
# MnPCS2

A relaxed structure of MnPCS2 (PBE-GGA, Alexandria).

Results
Its space-group type is No. 123. The uncorrected formation energy is 1.348 eV/atom. As for the relative energy among the computed polymorphs: 0 meV per atom. The density of states at the Fermi level comes out at 1.297 states/eV per atom.

```
5
Lattice="3.9926 0.0000 0.0000 0.0000 3.9926 0.0000 0.0000 0.0000 3.8788" Properties=species:S:1:pos:R:3 pbc="T T T"
P 0.0000 0.0000 1.9394
S 0.0000 1.9963 0.0000
S 1.9963 0.0000 0.0000
Mn 1.9963 1.9963 1.9394
C 0.0000 0.0000 0.0000
```

=====

Record 14
# MnPCS2

A relaxed structure of MnPCS2 (PBE-GGA, Alexandria).

Results
Its space-group type is No. 123. The uncorrected formation energy is 1.618 eV/atom. As for the relative energy among the computed polymorphs: 270 meV per atom. The density of states at the Fermi level comes out at 0.641 states/eV per atom.

```
5
Lattice="-0.2197 0.4585 4.3938 2.2864 -3.7523 0.5059 3.8293 2.3264 -0.0512" Properties=species:S:1:pos:R:3 pbc="T T T"
P 1.9146 1.1632 -0.0256
S 1.1432 -1.8762 0.2529
S -0.1099 0.2292 2.1969
Mn 0.0000 0.0000 0.0000
C 2.9480 -0.4837 2.4242
```

=====

Record 15
# Sc2Mn2P2C

A relaxed structure of Sc2Mn2P2C (PBE-GGA, Alexandria).

Results
Its space-group type is No. 139. The value obtained for the total energy is -8.06 eV per atom. The density of states at the Fermi level comes out at 0.603 states/eV per atom.

```
7
Lattice="3.7775 0.0000 0.0000 0.0000 3.7775 0.0000 -1.8888 -1.8888 6.6228" Properties=species:S:1:pos:R:3 pbc="T T T"
Sc 0.0000 0.0000 2.2596
Sc 1.8888 1.8888 4.3632
Mn 0.0000 1.8888 0.0000
Mn 1.8888 0.0000 0.0000
P 0.0000 0.0000 4.9517
P 1.8888 1.8888 1.6712
C 0.0000 0.0000 0.0000
```

=====

Record 16
# ScMn2PC

A relaxed structure of ScMn2PC (PBE-GGA, Alexandria).

Results
Its space-group type is No. 63. The value obtained for the total energy is -8.54 eV per atom. The density of states at the Fermi level comes out at 0.607 states/eV per atom.

```
10
Lattice="-0.5941 -2.8127 1.9679 5.0556 -0.3609 -2.0732 2.4340 3.2435 5.3706" Properties=species:S:1:pos:R:3 pbc="T T T"
Sc 6.2039 0.8066 3.0257
Sc 0.6916 -0.7366 2.2396
Mn 3.9058 2.4609 4.6965
Mn 2.9897 -2.3910 0.5688
Mn 2.9657 1.2082 2.6222
Mn 3.9297 -1.1383 2.6431
P 3.7816 0.1895 4.4961
P 3.1138 -0.1196 0.7691
C 0.0000 0.0000 0.0000
C 1.2170 1.6217 2.6853
```

=====

Record 17
# ScMnPC2

A relaxed structure of ScMnPC2 (PBE-GGA, Alexandria).

Results
Its space-group type is No. 123. The value obtained for the total energy is -6.59 eV per atom. The density of states at the Fermi level comes out at 0.819 states/eV per atom.

```
5
Lattice="3.8054 0.0000 0.0000 0.0000 4.2459 0.0000 0.0000 0.0000 3.8054" Properties=species:S:1:pos:R:3 pbc="T T T"
Sc 1.9027 2.1229 1.9027
P 0.0000 0.0000 0.0000
C 0.0000 0.0000 1.9027
C 1.9027 0.0000 0.0000
Mn 0.0000 2.1229 0.0000
```

=====

Record 18
# TiMn2PC

A relaxed structure of TiMn2PC (PBE-GGA, Alexandria).

Results
Its space-group type is No. 63. The value obtained for the total energy is -8.66 eV per atom. The density of states at the Fermi level comes out at 0.815 states/eV per atom.

```
10
Lattice="-0.7590 0.7631 -3.2465 -0.2221 -5.4398 0.5749 -6.2533 0.4203 1.5608" Properties=species:S:1:pos:R:3 pbc="T T T"
Ti -5.2458 -4.3582 0.2021
Ti -1.9886 0.1018 -1.3128
Mn -6.0893 -1.2930 1.1198
Mn -1.1452 -2.9634 -2.2305
Mn -3.6924 -1.4541 0.5215
Mn -3.5420 -2.8023 -1.6322
P -5.3546 -1.7003 -0.9494
P -1.8798 -2.5561 -0.1613
C 0.0000 0.0000 0.0000
C -3.1267 0.2101 0.7804
```

=====

Record 19
# U2Mn2P2C

A relaxed structure of U2Mn2P2C (PBE-GGA, Alexandria).

Results
Its space-group type is No. 12. The value obtained for the total energy is -9.36 eV per atom. The density of states at the Fermi level comes out at 1.125 states/eV per atom.

```
7
Lattice="3.7406 -0.0001 -0.0001 1.8698 5.0842 0.7385 -0.0004 2.0601 5.6506" Properties=species:S:1:pos:R:3 pbc="T T T"
U 1.8700 1.8060 3.8612
U 3.7401 5.3382 2.5278
Mn 3.7398 3.8477 5.4248
Mn 1.8702 3.2965 0.9641
P 3.7405 2.5382 1.8888
P 1.8695 4.6060 4.5002
C 0.0000 0.0000 0.0000
```

=====

Record 20
# YMn2PC

A relaxed structure of YMn2PC (PBE-GGA, Alexandria).

Results
Its space-group type is No. 63. The value obtained for the total energy is -8.58 eV per atom. The density of states at the Fermi level comes out at 0.655 states/eV per atom.

```
10
Lattice="-3.6438 0.1077 -0.1810 1.8554 -4.2162 -3.0584 -0.3948 -4.1483 5.4792" Properties=species:S:1:pos:R:3 pbc="T T T"
Y -0.2655 -6.9107 1.2350
Y -1.9177 -1.3462 1.0047
Mn -0.3605 -5.3309 4.0857
Mn -1.8227 -2.9260 -1.8460
Mn -0.2088 -3.7370 1.9805
Mn -1.9744 -4.5199 0.2592
P -2.1023 -5.0005 2.5489
P -0.0808 -3.2563 -0.3091
C 0.0000 0.0000 0.0000
C -0.1974 -2.0742 2.7396
```